Entry from Alexandria via LeMat-Bulk: a geometry-optimized Dy6Pd2Pt structure (PBE).

Results
- excess energy over the best structure of this formula in the dataset (eV/atom) = 0.000
- formation energy (kJ/mol of atoms) = -65.4
- raw total energy (eV/atom) = -5.571
- magnetization (μB per cell) = 0.00

Cell: 8.376 8.376 8.376 Å, 110.57 109.84 108.01°
Positions (direct):
Dy 0.062 0.247 0.815
Dy 0.168 0.464 0.296
Dy 0.168 0.872 0.704
Dy 0.327 0.233 0.560
Dy 0.327 0.767 0.093
Dy 0.431 0.247 0.185
Dy 0.569 0.753 0.815
Dy 0.673 0.233 0.907
Dy 0.673 0.767 0.440
Dy 0.832 0.128 0.296
Dy 0.832 0.536 0.704
Dy 0.938 0.753 0.185
Pd 0.158 0.500 0.658
Pd 0.366 0.866 0.500
Pd 0.634 0.134 0.500
Pd 0.842 0.500 0.342
Pt 0.000 0.000 0.000
Pt 0.500 0.500 0.000


Entry from Alexandria via LeMat-Bulk: a geometry-optimized Li2NdSbTe4 structure (PBE).

Results
- raw total energy (eV/atom) = -4.019
- magnetization (μB per cell) = 0.00

Cell: 7.474 4.410 7.667 Å, 90.00 109.73 90.00°
Positions (direct):
Li 0.000 0.000 0.000
Li 0.000 0.500 0.500
Nd 0.500 0.000 0.500
Sb 0.500 0.500 0.000
Te 0.239 0.500 0.239
Te 0.241 0.000 0.756
Te 0.759 0.000 0.244
Te 0.761 0.500 0.761


Entry from Alexandria via LeMat-Bulk: a geometry-optimized ZnSi3Se structure (PBE).

Results
- excess energy over the best structure of this formula in the dataset (eV/atom) = 0.000
- raw total energy (eV/atom) = -3.310
- magnetization (μB per cell) = 0.00

Cell: 4.702 4.702 4.702 Å, 90.00 90.00 90.00°
Positions (direct):
Zn 0.000 0.000 0.000
Si 0.000 0.000 0.500
Si 0.000 0.500 0.000
Si 0.500 0.000 0.000
Se 0.500 0.500 0.500